Record 1
DFT (GGA-PBE) results for a relaxed structure of DyHo3In3.

Values from the calculation:
Total moment, μB/f.u.: 0.0
E above lowest polymorph, eV/atom: 0.000
DFT formation energy, meV per atom: -333.2

Lattice parameters (Å, degrees): 9.3034 9.3034 5.1505 90.00 90.00 120.00
Closest atoms and distances in Å follow each position.
Space group P6_3/m (No. 176)
Unique sites:
Dy (0.3333, 0.6667, 0.2500)  9 In 3.35-3.41, 3 Ho 3.65
Ho (0.0032, 0.2332, 0.2500)  4 In 3.12-3.31, 4 Ho 3.36
In (0.0721, 0.4547, 0.7500)  4 Ho 3.12-3.31, 2 In 3.20, 3 Dy 3.35-3.41

***

Record 2
DFT (GGA-PBE) results for a relaxed structure of MgBe2IrOs.

Values from the calculation:
Total moment, μB/f.u.: 1.4
DFT formation energy, meV per atom: 1790.6

Lattice parameters (Å, degrees): 4.1318 4.1318 4.3791 90.00 90.00 90.00
Closest atoms and distances in Å follow each position.
Space group P4/mmm (No. 123)
Unique sites:
Mg (0.0000, 0.0000, 0.0000)  4 Be 2.07, 2 Ir 2.19
Be (0.0000, 0.5000, 0.0000)  2 Mg 2.07
Ir (0.0000, 0.0000, 0.5000)  2 Mg 2.19
Os (0.5000, 0.5000, 0.5000)  4 Ir 2.92, 8 Be 3.01

***

Record 3
DFT (GGA-PBE) results for a relaxed structure of LaMgAu2.

Values from the calculation:
Total moment, μB/f.u.: 0.0
DFT formation energy, meV per atom: -761.2

Lattice parameters (Å, degrees): 8.2935 4.7986 5.4915 90.00 120.23 90.00
Closest atoms and distances in Å follow each position.
Space group C2/m (No. 12)
Unique sites:
La (0.0000, 0.0000, 0.0000)  8 Au 3.13-3.20
Mg (0.0000, 0.5000, 0.5000)  6 Au 2.87
Au (0.2204, 0.0000, 0.6606)  3 Mg 2.87, 4 La 3.13-3.20, 3 Au 3.16